(1)
DFT (meta-GGA SCAN) results for a PBEsol-optimized structure of MgTlHg2.

Geometry as CIF:
```
data_MgTlHg2
_space_group_name_H-M_alt 'I m m 2'
_space_group_IT_number 44
_space_group_name_Hall 'I 2 -2'
_cell_length_a 3.493
_cell_length_b 5.145
_cell_length_c 10.536
_cell_angle_alpha 90.00
_cell_angle_beta 90.00
_cell_angle_gamma 90.00
loop_
_atom_site_label
_atom_site_type_symbol
_atom_site_fract_x
_atom_site_fract_y
_atom_site_fract_z
Mg1 Mg 0.000 0.000 0.000
Tl1 Tl 0.000 0.500 0.755
Hg1 Hg 0.000 0.000 0.523
Hg2 Hg 0.000 0.500 0.276
```

Results
Magnetic moment (μB/atom): 0.000
Calculated volume (A^3/atom): 23.67
Energy relative to the elements (eV per atom): -0.0915
DOS at the Fermi energy (states/eV per cell): 2.33
Calculated total energy (eV for the cell shown): -428.060
ρ (g cm⁻³): 11.05

=====

(2)
DFT (meta-GGA SCAN) results for a PBEsol-optimized structure of MgTl2Hg2.

Geometry as CIF:
```
data_MgTl2Hg2
_space_group_name_H-M_alt 'P 4/m b m'
_space_group_IT_number 127
_space_group_name_Hall '-P 4 2ab'
_cell_length_a 7.491
_cell_length_b 7.491
_cell_length_c 4.629
_cell_angle_alpha 90.00
_cell_angle_beta 90.00
_cell_angle_gamma 90.00
loop_
_atom_site_label
_atom_site_type_symbol
_atom_site_fract_x
_atom_site_fract_y
_atom_site_fract_z
Mg1 Mg 0.000 0.000 0.000
Tl1 Tl 0.166 0.334 0.500
Hg1 Hg 0.143 0.643 0.000
```

Results
Magnetic moment (μB/atom): 0.000
Calculated volume (A^3/atom): 25.97
Energy relative to the elements (eV per atom): -0.0379
DOS at the Fermi energy (states/eV per cell): 3.85
Calculated total energy (eV for the cell shown): -572.423
ρ (g cm⁻³): 10.67

=====

(3)
DFT (meta-GGA SCAN) results for a PBEsol-optimized structure of MgTlHg2.

Geometry as CIF:
```
data_MgTlHg2
_space_group_name_H-M_alt 'P m m 2'
_space_group_IT_number 25
_space_group_name_Hall 'P 2 -2'
_cell_length_a 3.745
_cell_length_b 5.082
_cell_length_c 4.984
_cell_angle_alpha 90.00
_cell_angle_beta 90.00
_cell_angle_gamma 90.00
loop_
_atom_site_label
_atom_site_type_symbol
_atom_site_fract_x
_atom_site_fract_y
_atom_site_fract_z
Mg1 Mg 0.000 0.000 0.000
Tl1 Tl 0.000 0.500 0.467
Hg1 Hg 0.500 0.000 0.506
Hg2 Hg 0.500 0.500 0.969
```

Results
Magnetic moment (μB/atom): 0.000
Calculated volume (A^3/atom): 23.72
Energy relative to the elements (eV per atom): -0.0835
DOS at the Fermi energy (states/eV per cell): 1.23
Calculated total energy (eV for the cell shown): -213.998
ρ (g cm⁻³): 11.03

=====

(4)
DFT (meta-GGA SCAN) results for a PBEsol-optimized structure of MgTlHg2.

Geometry as CIF:
```
data_MgTlHg2
_space_group_name_H-M_alt 'I m m m'
_space_group_IT_number 71
_space_group_name_Hall '-I 2 2'
_cell_length_a 3.340
_cell_length_b 5.362
_cell_length_c 10.514
_cell_angle_alpha 90.00
_cell_angle_beta 90.00
_cell_angle_gamma 90.00
loop_
_atom_site_label
_atom_site_type_symbol
_atom_site_fract_x
_atom_site_fract_y
_atom_site_fract_z
Mg1 Mg 0.000 0.000 0.000
Tl1 Tl 0.000 0.000 0.500
Hg1 Hg 0.000 0.500 0.272
```

Results
Magnetic moment (μB/atom): 0.000
Calculated volume (A^3/atom): 23.53
Energy relative to the elements (eV per atom): -0.0994
DOS at the Fermi energy (states/eV per cell): 2.89
Calculated total energy (eV for the cell shown): -428.123
ρ (g cm⁻³): 11.11

=====

(5)
DFT (meta-GGA SCAN) results for a PBEsol-optimized structure of Mg2Tl2Hg.

Geometry as CIF:
```
data_Mg2Tl2Hg
_space_group_name_H-M_alt 'I 4/m m m'
_space_group_IT_number 139
_space_group_name_Hall '-I 4 2'
_cell_length_a 4.273
_cell_length_b 4.273
_cell_length_c 14.447
_cell_angle_alpha 90.00
_cell_angle_beta 90.00
_cell_angle_gamma 90.00
loop_
_atom_site_label
_atom_site_type_symbol
_atom_site_fract_x
_atom_site_fract_y
_atom_site_fract_z
Mg1 Mg 0.000 0.000 0.098
Tl1 Tl 0.000 0.500 0.250
Hg1 Hg 0.000 0.000 0.500
```

Results
Magnetic moment (μB/atom): 0.000
Calculated volume (A^3/atom): 26.37
Energy relative to the elements (eV per atom): 0.0705
DOS at the Fermi energy (states/eV per cell): 5.11
Calculated total energy (eV for the cell shown): -444.955
ρ (g cm⁻³): 8.29

=====

(6)
DFT (meta-GGA SCAN) results for a PBEsol-optimized structure of MgTlHg2.

Geometry as CIF:
```
data_MgTlHg2
_space_group_name_H-M_alt 'R -3 m'
_space_group_IT_number 166
_space_group_name_Hall '-R 3 2"'
_cell_length_a 3.4651
_cell_length_b 3.4651
_cell_length_c 27.3283
_cell_angle_alpha 90.00
_cell_angle_beta 90.00
_cell_angle_gamma 120.00
loop_
_atom_site_label
_atom_site_type_symbol
_atom_site_fract_x
_atom_site_fract_y
_atom_site_fract_z
Mg1 Mg 0.0000 0.0000 0.0000
Tl1 Tl 0.0000 0.0000 0.5000
Hg1 Hg 0.0000 0.0000 0.2566
```

Results
Magnetic moment (μB/atom): 0.000
Calculated volume (A^3/atom): 23.68
Energy relative to the elements (eV per atom): -0.1365
DOS at the Fermi energy (states/eV per cell): 4.16
Calculated total energy (eV for the cell shown): -642.630
ρ (g cm⁻³): 11.04

=====

(7)
DFT (meta-GGA SCAN) results for a PBEsol-optimized structure of MgTlHg2.

Geometry as CIF:
```
data_MgTlHg2
_space_group_name_H-M_alt 'P m m 2'
_space_group_IT_number 25
_space_group_name_Hall 'P 2 -2'
_cell_length_a 3.541
_cell_length_b 4.113
_cell_length_c 6.481
_cell_angle_alpha 90.00
_cell_angle_beta 90.00
_cell_angle_gamma 90.00
loop_
_atom_site_label
_atom_site_type_symbol
_atom_site_fract_x
_atom_site_fract_y
_atom_site_fract_z
Mg1 Mg 0.000 0.000 0.000
Tl1 Tl 0.500 0.500 0.281
Hg1 Hg 0.000 0.000 0.537
Hg2 Hg 0.500 0.500 0.793
```

Results
Magnetic moment (μB/atom): 0.000
Calculated volume (A^3/atom): 23.60
Energy relative to the elements (eV per atom): -0.0749
DOS at the Fermi energy (states/eV per cell): 1.54
Calculated total energy (eV for the cell shown): -213.963
ρ (g cm⁻³): 11.08

=====

(8)
DFT (meta-GGA SCAN) results for a PBEsol-optimized structure of TmMgHg2.

Geometry as CIF:
```
data_TmMgHg2
_space_group_name_H-M_alt 'F m -3 m'
_space_group_IT_number 225
_space_group_name_Hall '-F 4 2 3'
_cell_length_a 7.004
_cell_length_b 7.004
_cell_length_c 7.004
_cell_angle_alpha 90.00
_cell_angle_beta 90.00
_cell_angle_gamma 90.00
loop_
_atom_site_label
_atom_site_type_symbol
_atom_site_fract_x
_atom_site_fract_y
_atom_site_fract_z
Tm1 Tm 0.000 0.000 0.000
Mg1 Mg 0.000 0.000 0.500
Hg1 Hg 0.250 0.250 0.250
```

Results
Magnetic moment (μB/atom): 0.000
Calculated volume (A^3/atom): 21.48
Energy relative to the elements (eV per atom): -0.6379
DOS at the Fermi energy (states/eV per cell): 3.80
Calculated total energy (eV for the cell shown): -782.756
ρ (g cm⁻³): 11.49

=====

Question: Among the records above, which one has the highest DOS at the Fermi energy?
Answer: Mg2Tl2Hg